Entry 1:
Entry from the Alexandria database: crystalline Th4GeP2Ir at its relaxed geometry (GGA-PBE).

Results
Total energy = -7.86 eV/atom
Formation enthalpy at 0 K = -1.117 eV per atom
Magnetic moment = 0.00 μB per cell

Cell: 7.2799 4.1510 7.3153 Å, 90.00 109.10 90.00°
With the nearest neighbours (Å) after each atom.
Space group P2/m (No. 10)
Inequivalent atoms, fractional coordinates:
1 Th 0.2407 0.0000 0.2452 x2  2 Ir 2.92, 3 P 2.95-3.01, 1 Ge 3.00
2 Th 0.2425 0.5000 0.7473 x2  3 P 2.93-3.00, 1 Ir 2.94, 2 Ge 3.00
3 Ge 0.5000 0.0000 0.0000 x1  6 Th 3.00
4 P 0.0000 0.0000 0.5000 x1  6 Th 2.93-2.95
5 P 0.5000 0.5000 0.5000 x1  6 Th 3.00-3.01
6 Ir 0.0000 0.5000 0.0000 x1  6 Th 2.92-2.94


Entry 2:
Entry from the Alexandria database: crystalline Pr2Dy5In5 at its relaxed geometry (GGA-PBE).

Results
Total energy = -4.16 eV/atom
Formation enthalpy at 0 K = -0.302 eV per atom
Magnetic moment = 0.00 μB per cell

Cell: 12.0436 5.1169 12.0044 Å, 90.00 108.61 90.00°
With the nearest neighbours (Å) after each atom.
Space group C2/m (No. 12)
Inequivalent atoms, fractional coordinates:
1 Pr 0.0727 0.0000 0.2560 x4  4 In 3.28-3.31, 3 Dy 3.48-3.63
2 Dy 0.0000 0.5000 0.0000 x2  6 In 3.39-3.77, 2 Dy 3.48
3 Dy 0.1310 0.5000 0.7798 x4  5 In 3.15-3.34, 2 Dy 3.39-3.48, 2 Pr 3.48
4 Dy 0.1515 0.5000 0.5047 x4  3 In 3.13-3.22, 1 Dy 3.39
5 In 0.0000 0.0000 0.5000 x2  4 Dy 3.13, 2 In 3.28, 2 Pr 3.31
6 In 0.1711 0.0000 0.9673 x4  3 In 3.13-3.45, 5 Dy 3.21-3.39, 1 Pr 3.28
7 In 0.2498 0.0000 0.7155 x4  3 Dy 3.15-3.22, 2 Pr 3.28, 2 In 3.28-3.45


Entry 3:
Entry from the Alexandria database: crystalline Mn2OsN2 at its relaxed geometry (GGA-PBE).

Results
Total energy = -8.51 eV/atom
E_form (uncorrected) = 0.7367 eV/atom
Magnetic moment = 3.56 μB per cell

Cell: 3.5166 3.5166 8.3734 Å, 90.00 90.00 90.00°
With the nearest neighbours (Å) after each atom.
Space group I4/mmm (No. 139)
Inequivalent atoms, fractional coordinates:
1 Mn 0.0000 0.5000 0.2500 x4  4 N 1.90
2 Os 0.0000 0.0000 0.0000 x2  8 Mn 2.73, 10 N 2.82-2.84
3 N 0.0000 0.0000 0.3373 x4  4 Mn 1.90